# 1
! YHo2Ru9 (PBE, relaxed); values from VASP
&SYSTEM
  ibrav = 0, nat = 12, ntyp = 3
/
ATOMIC_SPECIES
Y 88.91 Y.upf
Ho 164.93 Ho.upf
Ru 101.07 Ru.upf
CELL_PARAMETERS angstrom
-4.104 3.294 0.059
-4.677 -1.654 1.758
-0.789 3.065 8.661
ATOMIC_POSITIONS crystal
Y 0.000 0.000 0.000
Ho 0.860 0.860 0.419
Ho 0.140 0.140 0.581
Ru 0.662 0.662 0.013
Ru 0.338 0.338 0.987
Ru 0.500 0.500 0.500
Ru 0.412 0.412 0.249
Ru 0.927 0.412 0.249
Ru 0.412 0.927 0.249
Ru 0.588 0.588 0.751
Ru 0.588 0.073 0.751
Ru 0.073 0.588 0.751
! - DOS at the Fermi energy (states/eV/cell) = 16.91
! - energy relative to the elements (eV per atom) = -0.1383
! - VASP energy (eV per atom) = -8.397
! - volume (Å³ per cell) = 208.82

---

# 2
! TbIn2Hg (PBE, relaxed); values from VASP
&SYSTEM
  ibrav = 0, nat = 4, ntyp = 3
/
ATOMIC_SPECIES
Tb 158.93 Tb.upf
Hg 200.59 Hg.upf
In 114.82 In.upf
CELL_PARAMETERS angstrom
4.748 0.000 0.000
2.374 4.112 0.000
2.374 1.371 5.347
ATOMIC_POSITIONS crystal
Tb 0.000 0.000 0.000
Hg 0.500 0.500 0.500
In 0.767 0.767 0.700
In 0.233 0.233 0.300
! - DOS at the Fermi energy (states/eV/cell) = 1.76
! - energy relative to the elements (eV per atom) = -0.1929
! - VASP energy (eV per atom) = -2.795
! - volume (Å³ per cell) = 104.40

---

# 3
! In6SnHg2Pb2 (PBE, relaxed); values from VASP
&SYSTEM
  ibrav = 0, nat = 11, ntyp = 4
/
ATOMIC_SPECIES
In 114.82 In.upf
Sn 118.71 Sn.upf
Hg 200.59 Hg.upf
Pb 207.20 Pb.upf
CELL_PARAMETERS angstrom
-4.032 5.571 2.748
-9.163 0.769 -2.674
5.823 -1.728 7.310
ATOMIC_POSITIONS crystal
In 0.245 0.972 0.125
In 0.262 0.038 0.786
In 0.322 0.435 0.355
In 0.738 0.962 0.214
In 0.678 0.565 0.645
In 0.755 0.028 0.875
Sn 0.500 0.000 0.500
Hg 0.129 0.535 0.724
Hg 0.871 0.465 0.276
Pb 0.756 0.349 0.818
Pb 0.244 0.651 0.182
! - DOS at the Fermi energy (states/eV/cell) = 4.14
! - energy relative to the elements (eV per atom) = 0.0416
! - VASP energy (eV per atom) = -2.545
! - volume (Å³ per cell) = 313.57

---

# 4
! Ba2TcPdO6 (PBE, relaxed); values from VASP
&SYSTEM
  ibrav = 0, nat = 10, ntyp = 4
/
ATOMIC_SPECIES
Ba 137.33 Ba.upf
Tc 98.00 Tc.upf
Pd 106.42 Pd.upf
O 16.00 O.upf
CELL_PARAMETERS angstrom
-1.372 2.531 -5.484
4.021 -2.861 -3.760
-1.294 -2.993 -5.279
ATOMIC_POSITIONS crystal
Ba 0.750 0.250 0.501
Ba 0.250 0.750 0.499
Tc 0.500 0.500 0.000
Pd 0.000 0.000 0.000
O 0.315 0.199 0.483
O 0.701 0.700 0.002
O 0.201 0.684 0.115
O 0.799 0.316 0.885
O 0.299 0.300 0.998
O 0.685 0.801 0.517
! - DOS at the Fermi energy (states/eV/cell) = 3.77
! - VASP energy (eV per atom) = -6.699
! - volume (Å³ per cell) = 147.05

---

# 5
! Cs2CaIrN (PBE, relaxed); values from VASP
&SYSTEM
  ibrav = 0, nat = 5, ntyp = 4
/
ATOMIC_SPECIES
Cs 132.91 Cs.upf
Ca 40.08 Ca.upf
Ir 192.22 Ir.upf
N 14.01 N.upf
CELL_PARAMETERS angstrom
-0.978 -5.656 -2.643
2.221 1.707 -4.475
5.649 -1.941 2.064
ATOMIC_POSITIONS crystal
Cs 0.000 0.000 0.500
Cs 0.500 0.000 0.000
Ca 0.000 0.500 0.000
Ir 0.000 0.000 0.000
N 0.500 0.500 0.500
! - DOS at the Fermi energy (states/eV/cell) = 3.43
! - VASP energy (eV per atom) = -3.029
! - volume (Å³ per cell) = 210.85

---

# 6
! GaOsRu2 (PBE, relaxed); values from VASP
&SYSTEM
  ibrav = 0, nat = 4, ntyp = 3
/
ATOMIC_SPECIES
Ru 101.07 Ru.upf
Os 190.23 Os.upf
Ga 69.72 Ga.upf
CELL_PARAMETERS angstrom
-2.001 -1.009 -1.621
0.499 -2.192 -1.611
-3.000 -6.300 5.266
ATOMIC_POSITIONS crystal
Ru 0.750 0.750 0.751
Ru 0.250 0.250 0.249
Os 0.500 0.500 0.500
Ga 0.000 0.000 0.000
! - DOS at the Fermi energy (states/eV/cell) = 4.55
! - energy relative to the elements (eV per atom) = 0.0078
! - VASP energy (eV per atom) = -8.194
! - volume (Å³ per cell) = 56.95

---

# 7
! RbPbSCl (PBE, relaxed); values from VASP
&SYSTEM
  ibrav = 0, nat = 4, ntyp = 4
/
ATOMIC_SPECIES
Rb 85.47 Rb.upf
Pb 207.20 Pb.upf
S 32.06 S.upf
Cl 35.45 Cl.upf
CELL_PARAMETERS angstrom
4.315 -0.001 0.000
-2.157 3.738 0.000
-2.157 -1.245 7.952
ATOMIC_POSITIONS crystal
Rb 0.471 0.134 0.621
Pb 0.116 0.956 0.087
S 0.330 0.563 0.908
Cl 0.961 0.379 0.354
! - DOS at the Fermi energy (states/eV/cell) = 0.00
! - VASP energy (eV per atom) = -3.810
! - volume (Å³ per cell) = 128.24

---

# 8
! TcNi2P (PBE, relaxed); values from VASP
&SYSTEM
  ibrav = 0, nat = 4, ntyp = 3
/
ATOMIC_SPECIES
Tc 98.00 Tc.upf
Ni 58.69 Ni.upf
P 30.97 P.upf
CELL_PARAMETERS angstrom
1.439 4.192 0.800
-3.916 -1.076 1.948
1.302 -0.856 2.145
ATOMIC_POSITIONS crystal
Tc 0.500 0.500 0.500
Ni 0.500 0.000 0.000
Ni 0.000 0.500 0.000
P 0.000 0.000 0.500
! - DOS at the Fermi energy (states/eV/cell) = 3.91
! - energy relative to the elements (eV per atom) = -0.0319
! - VASP energy (eV per atom) = -6.867
! - volume (Å³ per cell) = 48.72